Record 1
This record from Alexandria describes an optimized crystal structure of AuBr2Cl8. The functional is PBE-GGA.

CIF file:
```
data_AuBr2Cl8
_chemical_formula_sum 'Au1 Br2 Cl8'
_cell_length_a 6.9075
_cell_length_b 7.9114
_cell_length_c 8.0121
_cell_angle_alpha 106.65
_cell_angle_beta 95.67
_cell_angle_gamma 93.22
_symmetry_space_group_name_H-M 'P -1'
_symmetry_Int_Tables_number 2
_symmetry_space_group_name_Hall '-P 1'
loop_
_atom_site_label
_atom_site_type_symbol
_atom_site_fract_x
_atom_site_fract_y
_atom_site_fract_z
Au1 Au 0.0000 0.0000 0.0000
Br1 Br 0.3570 0.1770 0.6983
Cl1 Cl 0.0964 0.4242 0.9311
Cl2 Cl 0.1432 0.9072 0.7413
Cl3 Cl 0.3032 0.0836 0.1618
Cl4 Cl 0.4592 0.6100 0.3537
```

Calculated values
E_tot	-2.0063	eV/atom

Record 2
This record from Alexandria describes an optimized crystal structure of AuBrCl. The functional is PBE-GGA.

CIF file:
```
data_AuBrCl
_chemical_formula_sum 'Au4 Br4 Cl4'
_cell_length_a 6.6868
_cell_length_b 6.6868
_cell_length_c 6.6868
_cell_angle_alpha 90.00
_cell_angle_beta 90.00
_cell_angle_gamma 90.00
_symmetry_space_group_name_H-M 'F -4 3 m'
_symmetry_Int_Tables_number 216
_symmetry_space_group_name_Hall 'F -4 2 3'
loop_
_atom_site_label
_atom_site_type_symbol
_atom_site_fract_x
_atom_site_fract_y
_atom_site_fract_z
Au1 Au 0.0000 0.0000 0.0000
Br1 Br 0.2500 0.2500 0.2500
Cl1 Cl 0.2500 0.2500 0.7500
```

Calculated values
energy above the most stable polymorph in this dataset	10.07	kcal/mol of atoms

Record 3
This record from Alexandria describes an optimized crystal structure of AuBrCl2. The functional is PBE-GGA.

CIF file:
```
data_AuBrCl2
_chemical_formula_sum 'Au4 Br4 Cl8'
_cell_length_a 9.8074
_cell_length_b 9.8074
_cell_length_c 5.3419
_cell_angle_alpha 90.00
_cell_angle_beta 90.00
_cell_angle_gamma 90.00
_symmetry_space_group_name_H-M 'I -4 2 d'
_symmetry_Int_Tables_number 122
_symmetry_space_group_name_Hall 'I -4 2bw'
loop_
_atom_site_label
_atom_site_type_symbol
_atom_site_fract_x
_atom_site_fract_y
_atom_site_fract_z
Au1 Au 0.0000 0.0000 0.0000
Br1 Br 0.0000 0.0000 0.5000
Cl1 Cl 0.0110 0.2500 0.1250
```

Calculated values
energy above the most stable polymorph in this dataset	7.17	kcal/mol of atoms

Record 4
This record from Alexandria describes an optimized crystal structure of AuBrCl2. The functional is PBE-GGA.

CIF file:
```
data_AuBrCl2
_chemical_formula_sum 'Au1 Br1 Cl2'
_cell_length_a 3.3545
_cell_length_b 3.3545
_cell_length_c 8.7239
_cell_angle_alpha 90.00
_cell_angle_beta 90.00
_cell_angle_gamma 90.00
_symmetry_space_group_name_H-M 'P 4 m m'
_symmetry_Int_Tables_number 99
_symmetry_space_group_name_Hall 'P 4 -2'
loop_
_atom_site_label
_atom_site_type_symbol
_atom_site_fract_x
_atom_site_fract_y
_atom_site_fract_z
Au1 Au 0.0000 0.0000 0.0000
Br1 Br 0.5000 0.5000 0.2132
Cl1 Cl 0.0000 0.0000 0.4631
Cl2 Cl 0.5000 0.5000 0.8283
```

Calculated values
energy above the most stable polymorph in this dataset	15.99	kcal/mol of atoms

Record 5
This record from Alexandria describes an optimized crystal structure of Au2Br6Cl. The functional is PBE-GGA.

CIF file:
```
data_Au2Br6Cl
_chemical_formula_sum 'Au8 Br24 Cl4'
_cell_length_a 15.7868
_cell_length_b 9.2500
_cell_length_c 11.5539
_cell_angle_alpha 90.00
_cell_angle_beta 112.59
_cell_angle_gamma 90.00
_symmetry_space_group_name_H-M 'C 1 2/c 1'
_symmetry_Int_Tables_number 15
_symmetry_space_group_name_Hall '-C 2yc'
loop_
_atom_site_label
_atom_site_type_symbol
_atom_site_fract_x
_atom_site_fract_y
_atom_site_fract_z
Au1 Au 0.1957 0.1751 0.1041
Br1 Br 0.0694 0.0617 0.9378
Br2 Br 0.0964 0.3368 0.1823
Br3 Br 0.1653 0.2259 0.7446
Cl1 Cl 0.0000 0.4906 0.2500
```

Calculated values
E_tot	-2.0058	eV/atom

Record 6
This record from Alexandria describes an optimized crystal structure of AuBr3Cl. The functional is PBE-GGA.

CIF file:
```
data_AuBr3Cl
_chemical_formula_sum 'Au1 Br3 Cl1'
_cell_length_a 5.2926
_cell_length_b 5.2926
_cell_length_c 5.2926
_cell_angle_alpha 90.00
_cell_angle_beta 90.00
_cell_angle_gamma 90.00
_symmetry_space_group_name_H-M 'P m -3 m'
_symmetry_Int_Tables_number 221
_symmetry_space_group_name_Hall '-P 4 2 3'
loop_
_atom_site_label
_atom_site_type_symbol
_atom_site_fract_x
_atom_site_fract_y
_atom_site_fract_z
Au1 Au 0.0000 0.0000 0.0000
Br1 Br 0.0000 0.5000 0.5000
Cl1 Cl 0.5000 0.5000 0.5000
```

Calculated values
energy above the most stable polymorph in this dataset	13.81	kcal/mol of atoms

Record 7
This record from Alexandria describes an optimized crystal structure of Au3BrCl. The functional is PBE-GGA.

CIF file:
```
data_Au3BrCl
_chemical_formula_sum 'Au3 Br1 Cl1'
_cell_length_a 5.0332
_cell_length_b 5.0332
_cell_length_c 5.0332
_cell_angle_alpha 90.00
_cell_angle_beta 90.00
_cell_angle_gamma 90.00
_symmetry_space_group_name_H-M 'P m -3 m'
_symmetry_Int_Tables_number 221
_symmetry_space_group_name_Hall '-P 4 2 3'
loop_
_atom_site_label
_atom_site_type_symbol
_atom_site_fract_x
_atom_site_fract_y
_atom_site_fract_z
Au1 Au 0.0000 0.0000 0.5000
Br1 Br 0.5000 0.5000 0.5000
Cl1 Cl 0.0000 0.0000 0.0000
```

Calculated values
energy above the most stable polymorph in this dataset	0.00	kcal/mol of atoms

Record 8
This record from Alexandria describes an optimized crystal structure of Cs8Au3Br3Cl. The functional is PBE-GGA.

CIF file:
```
data_Cs8Au3Br3Cl
_chemical_formula_sum 'Cs24 Au9 Br9 Cl3'
_cell_length_a 10.4817
_cell_length_b 10.4817
_cell_length_c 25.4775
_cell_angle_alpha 90.00
_cell_angle_beta 90.00
_cell_angle_gamma 120.00
_symmetry_space_group_name_H-M 'R -3 m'
_symmetry_Int_Tables_number 166
_symmetry_space_group_name_Hall '-R 3 2"'
loop_
_atom_site_label
_atom_site_type_symbol
_atom_site_fract_x
_atom_site_fract_y
_atom_site_fract_z
Cs1 Cs 0.0000 0.0000 0.2494
Cs2 Cs 0.0131 0.5066 0.2480
Au1 Au 0.0000 0.5000 0.5000
Br1 Br 0.0000 0.5000 0.0000
Cl1 Cl 0.0000 0.0000 0.5000
```

Calculated values
E_tot	-2.6617	eV/atom

Record 9
This record from Alexandria describes an optimized crystal structure of CsAuBr2Cl6. The functional is PBE-GGA.

CIF file:
```
data_CsAuBr2Cl6
_chemical_formula_sum 'Cs1 Au1 Br2 Cl6'
_cell_length_a 7.4806
_cell_length_b 7.5404
_cell_length_c 8.3139
_cell_angle_alpha 67.69
_cell_angle_beta 64.85
_cell_angle_gamma 86.29
_symmetry_space_group_name_H-M 'P 1'
_symmetry_Int_Tables_number 1
_symmetry_space_group_name_Hall 'P 1'
loop_
_atom_site_label
_atom_site_type_symbol
_atom_site_fract_x
_atom_site_fract_y
_atom_site_fract_z
Cs1 Cs 0.0000 0.0000 0.0000
Au1 Au 0.6623 0.2855 0.5630
Br1 Br 0.4185 0.7659 0.3145
Br2 Br 0.8731 0.5296 0.8124
Cl1 Cl 0.3646 0.4169 0.5854
Cl2 Cl 0.4461 0.0663 0.0958
Cl3 Cl 0.5165 0.9988 0.6104
Cl4 Cl 0.8034 0.5815 0.5148
Cl5 Cl 0.9507 0.4874 0.0597
Cl6 Cl 0.9525 0.1495 0.5449
```

Calculated values
E_tot	-2.4121	eV/atom

Record 10
This record from Alexandria describes an optimized crystal structure of Cs2AuBr6Cl. The functional is PBE-GGA.

CIF file:
```
data_Cs2AuBr6Cl
_chemical_formula_sum 'Cs4 Au2 Br12 Cl2'
_cell_length_a 7.9912
_cell_length_b 7.9912
_cell_length_c 11.1124
_cell_angle_alpha 90.00
_cell_angle_beta 90.00
_cell_angle_gamma 90.00
_symmetry_space_group_name_H-M 'I 4/m m m'
_symmetry_Int_Tables_number 139
_symmetry_space_group_name_Hall '-I 4 2'
loop_
_atom_site_label
_atom_site_type_symbol
_atom_site_fract_x
_atom_site_fract_y
_atom_site_fract_z
Cs1 Cs 0.0000 0.5000 0.2500
Au1 Au 0.0000 0.0000 0.0000
Br1 Br 0.0000 0.0000 0.2350
Br2 Br 0.2268 0.2268 0.0000
Cl1 Cl 0.0000 0.0000 0.5000
```

Calculated values
E_tot	-2.4842	eV/atom

Record 11
This record from Alexandria describes an optimized crystal structure of Cs2AuBr4Cl2. The functional is PBE-GGA.

CIF file:
```
data_Cs2AuBr4Cl2
_chemical_formula_sum 'Cs4 Au2 Br8 Cl4'
_cell_length_a 7.5376
_cell_length_b 7.5376
_cell_length_c 11.0715
_cell_angle_alpha 90.00
_cell_angle_beta 90.00
_cell_angle_gamma 90.00
_symmetry_space_group_name_H-M 'I 4/m m m'
_symmetry_Int_Tables_number 139
_symmetry_space_group_name_Hall '-I 4 2'
loop_
_atom_site_label
_atom_site_type_symbol
_atom_site_fract_x
_atom_site_fract_y
_atom_site_fract_z
Cs1 Cs 0.0000 0.5000 0.2500
Au1 Au 0.0000 0.0000 0.0000
Br1 Br 0.2488 0.2488 0.0000
Cl1 Cl 0.0000 0.0000 0.2154
```

Calculated values
E_tot	-2.6255	eV/atom

Record 12
This record from Alexandria describes an optimized crystal structure of Cs4Au2BrCl. The functional is PBE-GGA.

CIF file:
```
data_Cs4Au2BrCl
_chemical_formula_sum 'Cs4 Au2 Br1 Cl1'
_cell_length_a 8.9506
_cell_length_b 5.1573
_cell_length_c 9.0269
_cell_angle_alpha 90.00
_cell_angle_beta 109.21
_cell_angle_gamma 90.00
_symmetry_space_group_name_H-M 'P 1 2/m 1'
_symmetry_Int_Tables_number 10
_symmetry_space_group_name_Hall '-P 2y'
loop_
_atom_site_label
_atom_site_type_symbol
_atom_site_fract_x
_atom_site_fract_y
_atom_site_fract_z
Cs1 Cs 0.2406 0.0000 0.2398
Cs2 Cs 0.2459 0.5000 0.7566
Au1 Au 0.0000 0.0000 0.5000
Au2 Au 0.5000 0.5000 0.5000
Br1 Br 0.5000 0.0000 0.0000
Cl1 Cl 0.0000 0.5000 0.0000
```

Calculated values
E_tot	-2.7796	eV/atom